(1)
LaBe2Ni: relaxed, GGA-PBE.

It has space group C2/m (No. 12), with a = 4.941 Å, b = 7.283 Å, c = 3.907 Å, α = 90.00°, β = 109.53° and γ = 90.00°. Symmetry generates all atoms from La at (0.000, 0.000, 0.000), Be at (0.250, 0.250, 0.500) and Ni at (0.000, 0.500, 0.000).

The calculation puts the relative energy among the computed polymorphs at 69.6 kJ per mole of atoms.



(2)
LaBeNi: relaxed, GGA-PBE.

It has space group F-43m (No. 216), with a = 6.249 Å, b = 6.249 Å, c = 6.249 Å, α = 90.00°, β = 90.00° and γ = 90.00°. Symmetry generates all atoms from La at (0.000, 0.000, 0.000), Be at (0.250, 0.250, 0.750) and Ni at (0.000, 0.000, 0.500).

The calculation puts the relative energy among the computed polymorphs at 46.9 kJ per mole of atoms.



(3)
LaBeNi: relaxed, GGA-PBE.

It has space group F-43m (No. 216), with a = 6.311 Å, b = 6.311 Å, c = 6.311 Å, α = 90.00°, β = 90.00° and γ = 90.00°. Symmetry generates all atoms from La at (0.000, 0.000, 0.000), Be at (0.000, 0.000, 0.500) and Ni at (0.250, 0.250, 0.750).

The calculation puts the relative energy among the computed polymorphs at 31.8 kJ per mole of atoms.



| no. | density of states at the Fermi level (states/eV/atom) | VASP energy (eV/f.u.) |
| --- | --- | --- |
| 1 | 0.615 | -16.07 |
| 2 | 1.367 | -13.47 |
| 3 | 0.970 | -13.94 |